(1)
VASP calculation (meta-GGA SCAN) on ZnFeNi6 at its PBEsol-relaxed geometry.

```
ZnFeNi6
1.0
6.054 0.000 0.000
-2.023 5.706 0.000
0.000 0.000 9.904
Fe Ni Zn
4 24 4
Cartesian
0.002 4.275 0.000 Fe
4.028 1.431 0.000 Fe
2.015 2.853 7.412 Fe
2.015 2.853 2.491 Fe
0.011 4.269 7.460 Ni
4.029 3.548 8.684 Ni
0.002 2.158 8.684 Ni
4.020 1.436 7.460 Ni
2.033 0.723 8.684 Ni
1.998 4.983 8.684 Ni
2.015 2.853 4.952 Ni
0.015 2.151 6.209 Ni
2.022 0.732 6.209 Ni
0.011 4.269 2.444 Ni
4.016 3.555 3.695 Ni
0.015 2.151 3.695 Ni
4.020 1.436 2.444 Ni
2.022 0.732 3.695 Ni
2.009 4.973 3.695 Ni
2.015 2.853 0.000 Ni
0.002 2.158 1.220 Ni
2.033 0.723 1.220 Ni
0.000 0.000 4.952 Ni
2.009 4.973 6.209 Ni
4.016 3.555 6.209 Ni
0.000 0.000 0.000 Ni
1.998 4.983 1.220 Ni
4.029 3.548 1.220 Ni
-0.010 4.284 4.952 Zn
4.041 1.422 4.952 Zn
0.000 0.000 7.427 Zn
0.000 0.000 2.477 Zn
```

Summary:
E_form   -138 meV per atom

---

(2)
VASP calculation (meta-GGA SCAN) on ZnFeNi at its PBEsol-relaxed geometry.

```
ZnFeNi
1.0
2.543 0.000 0.000
0.000 2.543 0.000
-1.272 -1.272 5.259
Ni Zn Fe
1 1 1
Cartesian
1.272 1.272 1.713 Ni
0.000 0.000 3.479 Zn
0.000 0.000 0.067 Fe
```

Summary:
E_form   -114 meV per atom

---

(3)
VASP calculation (meta-GGA SCAN) on ZnFe2Ni at its PBEsol-relaxed geometry.

```
ZnFe2Ni
1.0
3.508 0.000 0.000
0.000 3.508 0.000
0.000 0.000 3.705
Ni Zn Fe
1 1 2
Cartesian
1.754 1.754 1.852 Ni
0.000 0.000 1.852 Zn
0.000 1.754 0.000 Fe
1.754 0.000 0.000 Fe
```

Summary:
E_form   -105 meV per atom

---

(4)
VASP calculation (meta-GGA SCAN) on ZnFe2Ni at its PBEsol-relaxed geometry.

```
ZnFe2Ni
1.0
-2.381 1.315 -2.920
-3.812 0.888 0.780
-1.209 3.803 -0.028
Fe Ni Zn
2 1 1
Cartesian
0.000 0.000 0.000 Fe
-5.551 4.505 -1.626 Fe
-3.701 3.003 -1.084 Ni
-1.850 1.502 -0.542 Zn
```

Summary:
E_form   -81 meV per atom

---

(5)
VASP calculation (meta-GGA SCAN) on ZnFe2Ni at its PBEsol-relaxed geometry.

```
ZnFe2Ni
1.0
2.500 0.000 0.000
0.000 2.500 0.000
0.000 0.000 7.024
Fe Ni Zn
2 1 1
Cartesian
0.000 0.000 0.097 Fe
1.250 1.250 1.746 Fe
0.000 0.000 3.442 Ni
1.250 1.250 5.252 Zn
```

Summary:
E_form   4 meV per atom

---

(6)
VASP calculation (meta-GGA SCAN) on Fe14O15 at its PBEsol-relaxed geometry.

```
Fe14O15
1.0
-5.688 2.158 -2.769
-3.476 -4.198 3.869
4.118 5.498 3.892
Fe O
14 15
Cartesian
-3.273 -2.156 1.832 Fe
-2.877 -0.007 -0.293 Fe
-5.891 0.116 -0.731 Fe
-6.287 -2.033 1.394 Fe
-1.464 2.470 0.255 Fe
-4.737 0.476 2.035 Fe
-2.071 -1.749 4.443 Fe
-1.703 0.431 2.284 Fe
-4.523 2.569 -0.165 Fe
-2.975 5.206 0.550 Fe
-0.309 2.982 2.958 Fe
-3.342 3.026 2.708 Fe
-0.523 0.888 5.158 Fe
-3.582 0.988 4.738 Fe
-4.582 -1.020 0.550 O
-4.927 -3.083 2.593 O
-1.687 -1.112 0.945 O
-7.477 -0.928 0.155 O
-4.238 1.042 -1.493 O
-0.156 1.503 1.491 O
-3.371 -0.562 3.265 O
-6.339 -0.553 2.947 O
-3.139 1.547 1.164 O
-6.108 1.555 0.846 O
-1.907 1.911 3.828 O
1.293 4.011 2.046 O
-1.675 4.019 1.727 O
-4.890 1.954 3.501 O
1.062 1.902 4.147 O
```

Summary:
Formation energy without anion corrections   -1.36 eV/atom

---

(7)
VASP calculation (meta-GGA SCAN) on Fe3O4 at its PBEsol-relaxed geometry.

```
Fe3O4
1.0
-2.420 0.364 1.326
-1.090 -1.048 -4.623
-0.219 -9.449 2.193
Fe O
6 8
Cartesian
-1.879 -4.094 0.615 Fe
-1.817 -6.105 -1.640 Fe
-1.838 -0.792 -0.215 Fe
-1.928 -9.433 -0.931 Fe
-2.974 -2.880 -1.715 Fe
-0.758 -7.366 0.638 Fe
-1.416 -2.294 0.967 O
-2.316 -7.953 -2.044 O
-2.491 -8.587 0.732 O
-1.361 -1.558 -2.056 O
-2.308 -5.961 0.346 O
-1.297 -4.092 -1.244 O
-3.613 -5.287 -2.221 O
-0.220 -9.330 2.159 O
```

Summary:
Formation energy without anion corrections   -1.48 eV/atom

---

(8)
VASP calculation (meta-GGA SCAN) on FeO2 at its PBEsol-relaxed geometry.

```
FeO2
1.0
-1.986 0.831 -1.722
-0.523 -1.965 1.862
-2.890 7.236 6.824
Fe O
2 4
Cartesian
0.000 0.000 0.000 Fe
-1.445 3.618 3.412 Fe
-1.285 -0.346 1.315 O
-2.181 1.899 3.432 O
-4.114 6.448 5.649 O
-3.217 4.203 3.532 O
```

Summary:
Formation energy without anion corrections   -1.33 eV/atom

---

(9)
VASP calculation (meta-GGA SCAN) on Fe3O4 at its PBEsol-relaxed geometry.

```
Fe3O4
1.0
5.689 0.000 0.000
2.845 4.927 0.000
2.845 1.642 4.645
Fe O
6 8
Cartesian
7.112 4.106 2.903 Fe
5.689 3.285 0.581 Fe
5.689 1.642 2.903 Fe
4.267 4.106 2.903 Fe
2.845 1.642 1.161 Fe
0.000 0.000 0.000 Fe
8.534 4.927 1.902 O
5.689 4.776 1.795 O
6.981 2.539 1.795 O
8.534 3.436 4.011 O
4.398 2.539 1.795 O
7.243 5.673 4.011 O
5.689 3.285 3.904 O
9.825 5.673 4.011 O
```

Summary:
Formation energy without anion corrections   -1.51 eV/atom

---

(10)
VASP calculation (meta-GGA SCAN) on Fe13O14 at its PBEsol-relaxed geometry.

```
Fe13O14
1.0
-2.884 -5.652 2.069
3.675 -2.378 5.038
-3.254 1.384 5.661
Fe O
13 14
Cartesian
-1.231 -3.323 6.384 Fe
-1.347 -2.864 9.365 Fe
-3.307 -4.855 7.951 Fe
-3.043 -5.300 4.913 Fe
0.581 -1.346 7.856 Fe
-2.200 -1.097 4.593 Fe
1.772 -3.866 6.588 Fe
-0.262 -5.550 8.176 Fe
-0.081 -5.954 5.330 Fe
0.844 -1.792 4.818 Fe
-2.382 -0.693 7.439 Fe
-1.116 -3.782 3.404 Fe
-4.235 -2.780 6.181 Fe
-0.627 -1.693 3.252 O
1.268 -5.886 6.874 O
-1.835 -4.954 9.517 O
-1.030 -0.879 9.037 O
-0.763 -1.282 6.155 O
-2.758 -2.807 7.742 O
-2.615 -3.198 4.800 O
-4.525 -4.807 6.318 O
2.063 -1.840 6.450 O
0.153 -3.449 7.969 O
0.296 -3.840 5.027 O
-1.699 -5.365 6.614 O
-1.432 -5.768 3.732 O
-3.731 -0.761 5.895 O
```

Summary:
Formation energy without anion corrections   -1.37 eV/atom

---

(11)
VASP calculation (meta-GGA SCAN) on Fe12O13 at its PBEsol-relaxed geometry.

```
Fe12O13
1.0
-0.630 6.530 1.219
-3.190 -1.284 -5.718
-3.212 -3.259 4.857
Fe O
12 13
Cartesian
-2.629 0.301 -3.398 Fe
-1.396 3.785 1.510 Fe
-4.311 2.835 0.917 Fe
-4.898 1.184 -1.441 Fe
-1.942 1.965 -0.893 Fe
-4.011 4.082 -1.889 Fe
-3.020 -2.095 2.246 Fe
-2.134 0.803 1.798 Fe
-5.089 0.022 1.250 Fe
-5.635 -1.797 -1.153 Fe
-2.720 -0.848 -0.560 Fe
-4.402 1.686 3.755 Fe
-0.761 1.916 0.784 O
-1.376 0.188 -1.714 O
-2.925 2.647 2.548 O
-3.319 2.164 -2.522 O
-1.584 -1.053 1.118 O
-5.448 3.040 -0.762 O
-4.294 -1.832 0.508 O
-2.737 3.819 -0.151 O
-4.106 -0.659 -2.192 O
-3.712 -0.177 2.878 O
-5.655 1.799 2.071 O
-6.270 0.071 -0.428 O
-3.516 0.994 0.178 O
```

Summary:
Formation energy without anion corrections   -1.38 eV/atom

---

(12)
VASP calculation (meta-GGA SCAN) on FeOsO2 at its PBEsol-relaxed geometry.

```
FeOsO2
1.0
-1.638 -0.619 -2.064
-0.099 -2.538 -0.935
-5.117 -2.343 2.988
Os Fe O
1 1 2
Cartesian
0.000 0.000 0.000 Os
-3.427 -2.750 -0.006 Fe
-3.183 -3.569 -1.728 O
-3.671 -1.932 1.717 O
```

Summary:
Formation energy without anion corrections   -0.90 eV/atom

---

(13)
VASP calculation (meta-GGA SCAN) on FeP3O9 at its PBEsol-relaxed geometry.

```
FeP3O9
1.0
8.422 0.000 0.000
0.000 8.505 0.000
0.000 0.000 8.569
Fe P O
4 12 36
Cartesian
7.302 5.451 3.032 Fe
5.331 3.054 7.316 Fe
3.091 7.306 5.537 Fe
1.120 1.199 1.253 Fe
5.729 8.399 6.962 P
5.909 2.605 3.869 P
6.723 5.900 8.153 P
6.904 0.106 2.677 P
0.286 5.773 5.916 P
1.518 4.359 1.607 P
1.698 1.647 4.700 P
2.513 6.857 0.415 P
8.136 1.520 6.937 P
3.925 2.732 1.632 P
4.497 6.985 2.652 P
2.693 4.146 5.891 P
5.357 5.839 3.101 O
8.072 6.155 7.324 O
7.578 7.415 3.279 O
7.632 5.296 4.990 O
0.350 1.903 5.529 O
0.843 3.163 1.005 O
0.790 1.043 7.863 O
0.828 5.061 2.743 O
1.146 6.918 5.468 O
1.215 4.540 6.376 O
1.296 1.375 3.289 O
1.611 7.797 1.160 O
1.845 5.397 0.435 O
2.366 3.108 4.719 O
2.600 0.708 5.444 O
2.914 7.130 7.573 O
2.996 3.965 2.092 O
3.065 1.587 1.184 O
3.383 3.444 7.027 O
3.421 7.462 3.578 O
3.368 5.342 5.290 O
3.861 6.602 1.245 O
4.561 2.350 3.040 O
7.276 2.666 7.385 O
5.001 3.209 0.706 O
5.039 7.696 5.826 O
5.054 1.089 7.563 O
5.426 8.217 2.193 O
5.507 2.878 5.280 O
5.822 4.960 7.409 O
6.055 7.360 8.134 O
6.577 1.145 3.850 O
6.810 3.545 3.124 O
7.125 5.627 0.995 O
7.206 0.288 6.477 O
7.594 0.809 1.542 O
```

Summary:
Formation energy without anion corrections   -2.26 eV/atom
Distance to the lowest polymorph of the same formula   0.000 eV per atom

---

(14)
VASP calculation (meta-GGA SCAN) on Fe2P2O7 at its PBEsol-relaxed geometry.

```
Fe2P2O7
1.0
-4.218 -1.020 1.859
2.660 -3.566 2.539
0.916 4.176 2.836
P Fe O
2 2 7
Cartesian
2.371 0.374 4.397 P
-3.014 -0.784 2.837 P
-0.039 -1.463 3.569 Fe
-0.603 1.052 3.665 Fe
1.849 -1.049 4.619 O
-1.934 -1.826 2.524 O
-2.491 0.639 2.616 O
1.292 1.415 4.710 O
0.547 0.036 2.351 O
0.000 0.000 0.000 O
-1.189 -0.447 4.883 O
```

Summary:
Formation energy without anion corrections   -2.08 eV/atom

---

(15)
VASP calculation (meta-GGA SCAN) on FeP3O9 at its PBEsol-relaxed geometry.

```
FeP3O9
1.0
6.602 -0.008 0.040
-0.458 6.837 -0.022
-0.354 -1.519 7.099
Fe P O
2 6 18
Cartesian
5.073 5.942 1.028 Fe
0.717 -0.632 6.088 Fe
5.084 4.584 3.954 P
0.706 0.726 3.162 P
4.063 -0.431 5.704 P
1.727 5.742 1.412 P
3.843 2.579 5.696 P
1.947 2.731 1.420 P
6.087 0.489 2.349 O
-0.297 4.821 4.767 O
5.278 4.623 2.463 O
0.512 0.687 4.653 O
5.114 -0.874 6.711 O
0.676 6.184 0.405 O
4.792 3.085 6.774 O
0.998 2.225 0.342 O
3.960 5.693 4.291 O
1.830 -0.383 2.825 O
4.395 3.206 4.291 O
1.395 2.104 2.825 O
4.300 1.071 5.343 O
1.490 4.239 1.773 O
3.396 2.561 1.281 O
2.393 2.749 5.835 O
3.164 6.052 1.136 O
2.626 -0.742 5.980 O
```

Summary:
Formation energy without anion corrections   -2.21 eV/atom
Distance to the lowest polymorph of the same formula   0.052 eV per atom

---

(16)
VASP calculation (meta-GGA SCAN) on Fe2P3O12 at its PBEsol-relaxed geometry.

```
Fe2P3O12
1.0
-4.006 -6.789 -1.294
3.887 -6.517 -2.498
1.054 -6.365 5.472
Fe P O
4 6 24
Cartesian
0.952 -10.690 3.823 Fe
-0.017 -8.981 -2.143 Fe
0.595 -5.554 2.641 Fe
0.341 -14.117 -0.961 Fe
2.483 -8.033 2.915 P
1.846 -12.849 1.639 P
-0.911 -6.822 0.040 P
-1.548 -11.638 -1.235 P
3.032 -9.584 -1.391 P
-2.097 -10.087 3.071 P
-0.060 -3.171 -0.225 O
-2.628 -9.109 2.015 O
-2.333 -11.527 2.591 O
-2.303 -7.453 0.192 O
3.563 -10.562 -0.335 O
3.269 -8.144 -0.911 O
3.238 -12.218 1.488 O
2.992 -7.675 1.513 O
1.403 -5.173 -1.036 O
1.520 -9.838 -1.522 O
2.102 -14.187 2.387 O
2.034 -9.504 2.871 O
1.243 -13.082 0.248 O
1.281 -7.142 3.260 O
-0.468 -14.497 2.716 O
0.917 -11.867 2.375 O
0.018 -7.804 -0.696 O
-2.057 -11.996 0.167 O
-0.346 -12.529 -1.580 O
-0.308 -6.588 1.432 O
-1.099 -10.167 -1.191 O
-1.167 -5.484 -0.708 O
-0.585 -9.833 3.202 O
0.995 -16.500 1.905 O
```

Summary:
Formation energy without anion corrections   -1.91 eV/atom

---

no.,total magnetization (μB per atom)
1,0.818
2,1.015
3,1.479
4,1.400
5,0.265
6,2.000
7,1.429
8,0.667
9,0.857
10,2.000
11,2.000
12,0.333
13,0.384
14,0.727
15,0.381
16,0.294